SrCuBiO3: optimized geometry, PBE.

a b c (Å): 3.439 7.418 7.660
angles (deg): 98.02 90.00 90.00
Fractional coordinates of all 12 atoms:
Cu 0.750 0.872 0.410
Cu 0.250 0.128 0.590
Bi 0.750 0.348 0.826
Bi 0.250 0.652 0.174
O 0.250 0.596 0.880
O 0.750 0.404 0.120
O 0.750 0.867 0.129
O 0.250 0.824 0.545
O 0.250 0.133 0.871
O 0.750 0.176 0.455
Sr 0.750 0.836 0.786
Sr 0.250 0.164 0.214

Summary:
For the spin magnetization, the calculation gives 0.00 μB/f.u. The crystal system is monoclinic. Its total energy is -65.9 eV/cell. Its space-group type is P2_1/m (11). The value obtained for the formation energy (no corrections) is -8.40 eV per formula unit.